Computed, not measured: a geometry-optimized Ca6YTe8 structure at the PBE level of DFT.

Structure (POSCAR):
```
Ca6YTe8
1.0
-6.348 -2.795 5.727
1.476 0.342 8.866
-4.427 5.967 5.069
Te Y Ca
8 1 6
Direct
0.756 0.244 0.756
0.756 0.756 0.244
0.244 0.756 0.244
0.750 0.750 0.750
0.244 0.244 0.756
0.756 0.244 0.244
0.244 0.756 0.756
0.250 0.250 0.250
0.000 0.000 0.000
0.500 0.500 0.000
0.500 0.000 0.500
0.500 0.000 0.000
0.000 0.000 0.500
0.000 0.500 0.000
0.000 0.500 0.500
```

Results
Formation energy (no corrections) ... -1.5110 eV/atom
Space group ... Fm-3m
Size of the total moment ... 0.0 μB/f.u.